Entry 1:
Density functional theory data (PBE) for crystalline Ho5Zn2Sb at its relaxed geometry.

POSCAR file:
```
Ho5Zn2Sb
1.0
8.0774 0.0000 0.0000
0.0000 8.0774 0.0000
-4.0387 -4.0387 6.3269
Zn Ho Sb
4 10 2
Direct
0.3620 0.8620 0.0000
0.8620 0.6380 0.0000
0.6380 0.1380 0.0000
0.1380 0.3620 0.0000
0.5100 0.7017 0.7116
0.2983 0.7983 0.2884
0.0000 0.0000 0.0000
0.7017 0.2017 0.7116
0.7983 0.9900 0.2884
0.9900 0.4900 0.2884
0.4900 0.2983 0.2884
0.5000 0.5000 0.0000
0.2017 0.0100 0.7116
0.0100 0.5100 0.7116
0.2500 0.2500 0.5000
0.7500 0.7500 0.5000
```

Results
DOS at the Fermi energy = 4.9 states/eV/f.u.
crystal system = tetragonal
space group = I4/mcm
uncorrected energy = -66.8 eV for the cell shown
formation energy without anion corrections = -3.8 eV per formula unit

***

Entry 2:
Density functional theory data (PBE) for crystalline Li2LaMo at its relaxed geometry.

POSCAR file:
```
Li2LaMo
1.0
-5.2352 -0.4027 -0.5419
-1.2727 -2.1652 -4.6428
3.3339 -1.4281 3.8352
Li Mo La
2 1 1
Direct
0.2500 0.7500 0.5000
0.0000 0.0000 0.0000
0.5000 0.5000 0.0000
0.7500 0.2500 0.5000
```

Results
DOS at the Fermi energy = 3.6 states/eV/f.u.
crystal system = tetragonal
ΔE to the lowest computed polymorph = 76 kJ/mol of formula units
space group = I-4m2
uncorrected energy = -17.1 eV for the cell shown

***

Entry 3:
Density functional theory data (PBE) for crystalline Np2Cu4S5 at its relaxed geometry.

POSCAR file:
```
Np2Cu4S5
1.0
-1.8624 0.9125 3.2203
0.9614 -1.6739 3.3084
10.2154 11.3224 4.9775
Np S Cu
2 5 4
Direct
0.8676 0.8676 0.3971
0.1324 0.1324 0.6029
0.5000 0.5000 0.5000
0.3663 0.3663 0.9010
0.7650 0.7650 0.7050
0.6337 0.6337 0.0990
0.2350 0.2350 0.2950
0.5860 0.5860 0.2420
0.3110 0.3110 0.0671
0.4140 0.4140 0.7580
0.6890 0.6890 0.9329
```

Results
DOS at the Fermi energy = 17.5 states/eV/f.u.
crystal system = trigonal
space group = R-3m
uncorrected energy = -70.1 eV for the cell shown
formation energy without anion corrections = -7.2 eV per formula unit

***

Entry 4:
Density functional theory data (PBE) for crystalline La2TbNi2 at its relaxed geometry.

POSCAR file:
```
La2TbNi2
1.0
3.9353 0.0000 0.0000
0.0000 4.2819 -1.2173
0.0000 -0.1903 7.4701
Ni Tb La
2 1 2
Direct
0.0000 0.2001 0.4003
0.0000 0.7999 0.5997
0.0000 0.0000 0.0000
0.5000 0.3521 0.7043
0.5000 0.6479 0.2957
```

Results
DOS at the Fermi energy = 3.4 states/eV/f.u.
crystal system = orthorhombic
space group = Cmmm
uncorrected energy = -27.3 eV for the cell shown

***

Entry 5:
Density functional theory data (PBE) for crystalline Ac5Pm12Pu3 at its relaxed geometry.

POSCAR file:
```
Ac5Pm12Pu3
1.0
16.4994 0.0000 0.0000
-5.4998 15.5558 0.0000
-5.4998 -7.7779 13.4717
Pm Pu Ac
48 12 20
Direct
0.1373 0.7408 0.5873
0.0500 0.1535 0.4127
0.7408 0.6035 0.1535
0.3627 0.9127 0.7592
0.6373 0.5500 0.8965
0.8965 0.8465 0.7592
0.5873 0.3465 0.9500
0.2408 0.6535 0.1035
0.6535 0.4127 0.5500
0.9127 0.3627 0.2592
0.6035 0.7408 0.6535
0.7592 0.3465 0.8965
0.2592 0.3965 0.8465
0.5500 0.9127 0.6535
0.1535 0.1035 0.7408
0.1535 0.0500 0.9127
0.8965 0.0500 0.6373
0.2592 0.8627 0.9127
0.9500 0.8465 0.5873
0.4500 0.3627 0.6035
0.1373 0.3965 0.0500
0.3627 0.4500 0.1035
0.9500 0.1035 0.8627
0.4500 0.0873 0.3465
0.3965 0.1373 0.5500
0.8627 0.2592 0.4127
0.3465 0.5873 0.4500
0.0500 0.8965 0.1373
0.6035 0.8627 0.4500
0.3965 0.2592 0.3465
0.1035 0.9500 0.3627
0.4127 0.7592 0.8627
0.5873 0.2408 0.1373
0.8627 0.6035 0.9500
0.3465 0.7592 0.3965
0.6535 0.2408 0.6035
0.8465 0.8965 0.2592
0.9127 0.5500 0.1535
0.0873 0.6373 0.7408
0.6373 0.0873 0.2408
0.0873 0.4500 0.8465
0.7592 0.4127 0.3627
0.2408 0.5873 0.6373
0.7408 0.1373 0.0873
0.1035 0.1535 0.2408
0.5500 0.6373 0.3965
0.4127 0.6535 0.0500
0.8465 0.9500 0.0873
0.3750 0.7500 0.6250
0.8750 0.7500 0.1250
0.6250 0.3750 0.7500
0.7500 0.8750 0.6250
0.1250 0.2500 0.8750
0.7500 0.3750 0.1250
0.2500 0.6250 0.8750
0.3750 0.6250 0.2500
0.8750 0.1250 0.2500
0.2500 0.1250 0.3750
0.1250 0.8750 0.7500
0.6250 0.2500 0.3750
0.6250 0.7500 0.8750
0.8750 0.2500 0.6250
0.7500 0.6250 0.3750
0.8750 0.6250 0.7500
0.0000 0.0000 0.5000
0.1250 0.7500 0.3750
0.5000 0.5000 0.5000
0.3750 0.2500 0.1250
0.0000 0.5000 0.0000
0.6250 0.8750 0.2500
0.0000 0.5000 0.5000
0.1250 0.3750 0.2500
0.5000 0.0000 0.0000
0.7500 0.1250 0.8750
0.3750 0.1250 0.7500
0.2500 0.8750 0.1250
0.5000 0.0000 0.5000
0.5000 0.5000 0.0000
0.2500 0.3750 0.6250
0.0000 0.0000 0.0000
```

Results
DOS at the Fermi energy = 46.0 states/eV/f.u.
crystal system = cubic
space group = Ia-3d
uncorrected energy = -406.7 eV for the cell shown

***

Entry 6:
Density functional theory data (PBE) for crystalline Ce3UNi8 at its relaxed geometry.

POSCAR file:
```
Ce3UNi8
1.0
-4.1410 -2.8309 -0.6982
-1.8865 -2.7167 3.8353
-6.7452 4.5374 3.2401
Ni Ce U
8 3 1
Direct
0.9375 0.4363 0.1899
0.1879 0.1879 0.4362
0.4363 0.9375 0.1899
0.4363 0.4363 0.1899
0.9376 0.9376 0.6851
0.6877 0.6877 0.9369
0.9376 0.4397 0.6851
0.4397 0.9376 0.6851
0.3758 0.3758 0.8726
0.9974 0.9974 0.0079
0.5014 0.5014 0.4959
0.8749 0.8749 0.3754
```

Results
DOS at the Fermi energy = 19.7 states/eV/f.u.
crystal system = trigonal
space group = R3m
uncorrected energy = -79.2 eV for the cell shown